The following is a DFT calculation (PBE-GGA) of crystalline LiLaPrNd at its relaxed geometry.

Cell lengths 5.716, 5.716, 5.716 Å; angles 60.00, 60.00, 60.00 degrees
Sites, in units of the cell vectors:
Nd: 0.500 0.500 0.500
Li: 0.000 0.000 0.000
Pr: 0.750 0.750 0.750
La: 0.250 0.250 0.250

**Symmetry**: F-43m, No. 216
**Energy of formation from the pure elements**: 170 meV/atom
**Energy above the most stable polymorph in this dataset**: 0.0965 eV per atom

***

The following is a DFT calculation (PBE-GGA) of crystalline Li2DyCd2Pb2 at its relaxed geometry.

Cell lengths 4.764, 4.777, 8.796 Å; angles 105.49, 90.00, 119.91 degrees
Sites, in units of the cell vectors:
Li: 0.143 0.285 0.430
Li: 0.857 0.715 0.570
Pb: 0.270 0.539 0.806
Pb: 0.730 0.461 0.194
Cd: 0.442 0.883 0.328
Cd: 0.558 0.117 0.672
Dy: 0.000 0.000 0.000

**Symmetry**: C2/m, No. 12
**Energy of formation from the pure elements**: -288 meV/atom

***

The following is a DFT calculation (PBE-GGA) of crystalline KSr2TlRh at its relaxed geometry.

Cell lengths 5.870, 5.870, 5.487 Å; angles 90.00, 90.00, 90.00 degrees
Sites, in units of the cell vectors:
Sr: 0.500 0.000 0.000
Sr: 0.000 0.500 0.000
K: 0.500 0.500 0.500
Rh: 0.000 0.000 0.000
Tl: 0.000 0.000 0.500

**Symmetry**: P4/mmm, No. 123
**Energy of formation from the pure elements**: -168 meV/atom

***

The following is a DFT calculation (PBE-GGA) of crystalline PrPaBi6 at its relaxed geometry.

Cell lengths 4.557, 4.561, 12.657 Å; angles 90.00, 100.37, 90.00 degrees
Sites, in units of the cell vectors:
Bi: 0.701 0.000 0.402
Bi: 0.930 0.500 0.860
Bi: 0.550 0.500 0.101
Bi: 0.076 0.000 0.152
Bi: 0.310 0.500 0.619
Bi: 0.430 0.000 0.859
Pa: 0.828 0.000 0.656
Pr: 0.175 0.500 0.351

**Symmetry**: Amm2, No. 38
**Energy of formation from the pure elements**: -229 meV/atom